1.
The following is a PBE-GGA calculation of a relaxed structure of MgAg2Pd2Au4, from Alexandria via LeMat-Bulk.

Computed properties:
N(E_F) = 2.5 states/eV/f.u.
Energy of formation from the pure elements = -0.16 eV/atom

Unit cell a=5.349 b=5.428 c=6.848 alpha=79.18 beta=68.41 gamma=63.02
Space group P-1 (No. 2)
One atom of each set of equivalent atoms:
Mg (0.000, 0.000, 0.000) [1 per cell]
Ag (0.463, 0.363, 0.363) [2 per cell]
Pd (0.063, 0.142, 0.604) [2 per cell]
Au (0.025, 0.393, 0.201) [2 per cell]
Au (0.496, 0.122, 0.793) [2 per cell]



2.
The following is a PBE-GGA calculation of a relaxed structure of Mg2AgPd5Au, from Alexandria via LeMat-Bulk.

Computed properties:
N(E_F) = 3.6 states/eV/f.u.
Energy of formation from the pure elements = -0.05 eV/atom

Unit cell a=7.348 b=7.348 c=11.691 alpha=90.00 beta=90.00 gamma=90.00
Space group I4/mcm (No. 140)
One atom of each set of equivalent atoms:
Mg (0.117, 0.383, 0.000) [8 per cell]
Ag (0.000, 0.000, 0.250) [4 per cell]
Pd (0.000, 0.000, 0.000) [4 per cell]
Pd (0.205, 0.295, 0.372) [16 per cell]
Au (0.000, 0.500, 0.250) [4 per cell]



3.
The following is a PBE-GGA calculation of a relaxed structure of Mg5Ag2PdAu2, from Alexandria via LeMat-Bulk.

Computed properties:
N(E_F) = 4.6 states/eV/f.u.
Energy of formation from the pure elements = -0.36 eV/atom

Unit cell a=11.250 b=11.250 c=3.053 alpha=90.00 beta=90.00 gamma=90.00
Space group P4/mbm (No. 127)
One atom of each set of equivalent atoms:
Mg (0.000, 0.500, 0.000) [2 per cell]
Mg (0.013, 0.199, 0.000) [8 per cell]
Ag (0.171, 0.671, 0.500) [4 per cell]
Pd (0.000, 0.000, 0.500) [2 per cell]
Au (0.146, 0.354, 0.500) [4 per cell]



4.
The following is a PBE-GGA calculation of a relaxed structure of PmMg2AgAu4, from Alexandria via LeMat-Bulk.

Computed properties:
N(E_F) = 3.1 states/eV/f.u.
Energy of formation from the pure elements = -0.53 eV/atom

Unit cell a=4.6624 b=4.6624 c=26.2676 alpha=90.00 beta=90.00 gamma=120.00
Space group R-3m (No. 166, hexagonal axes)
One atom of each set of equivalent atoms:
Pm (0.0000, 0.0000, 0.0000) [3 per cell]
Mg (0.0000, 0.0000, 0.2356) [6 per cell]
Ag (0.0000, 0.0000, 0.5000) [3 per cell]
Au (0.0000, 0.0000, 0.1212) [6 per cell]
Au (0.0000, 0.0000, 0.3925) [6 per cell]



Q: Among the records above, which one has the lowest energy of formation from the pure elements?
A: PmMg2AgAu4



Q: N(E_F) of number 1 (MgAg2Pd2Au4)?
A: 2.5 states/eV/f.u.



Q: Which of these has the lowest energy of formation from the pure elements?
A: PmMg2AgAu4



Repeat the third record exactly.
The following is a PBE-GGA calculation of a relaxed structure of Mg5Ag2PdAu2, from Alexandria via LeMat-Bulk.

Computed properties:
N(E_F) = 4.6 states/eV/f.u.
Energy of formation from the pure elements = -0.36 eV/atom

Unit cell a=11.250 b=11.250 c=3.053 alpha=90.00 beta=90.00 gamma=90.00
Space group P4/mbm (No. 127)
One atom of each set of equivalent atoms:
Mg (0.000, 0.500, 0.000) [2 per cell]
Mg (0.013, 0.199, 0.000) [8 per cell]
Ag (0.171, 0.671, 0.500) [4 per cell]
Pd (0.000, 0.000, 0.500) [2 per cell]
Au (0.146, 0.354, 0.500) [4 per cell]